The following is a PBEsol calculation of a relaxed structure of Li2FeSi, from Alexandria via LeMat-Bulk.

```
4
Lattice="-2.675 -1.186 1.600 -1.287 -1.015 -2.904 3.945 -2.708 1.112" Properties=species:S:1:pos:R:3 pbc="T T T"
Fe 0.000 0.000 0.000
Si -1.981 -1.101 -0.652
Li -0.355 -2.498 1.030
Li 0.339 -2.412 -1.222
```

Output
Space group: No. 139
ΔE_f (raw), eV/atom: -0.04
Calculated volume, Å³ per atom: 12.0
Electronic total energy, eV per atom: -4.696

=====

The following is a PBEsol calculation of a relaxed structure of AsP2Cl, from Alexandria via LeMat-Bulk.

```
4
Lattice="-0.554 -2.336 -2.475 3.317 1.708 0.048 2.575 -5.121 4.257" Properties=species:S:1:pos:R:3 pbc="T T T"
Cl -0.277 -1.168 -1.238
As 1.011 -3.729 0.891
P 0.706 -1.403 1.166
P 1.870 -3.718 3.091
```

Output
Space group: No. 65
ΔE_f (raw), eV/atom: 0.52
ΔE to the lowest computed polymorph, eV/atom: 0.467
Calculated volume, Å³ per atom: 20.4
Electronic total energy, eV per atom: -4.150

=====

The following is a PBEsol calculation of a relaxed structure of CsTe2WN, from Alexandria via LeMat-Bulk.

```
5
Lattice="-2.589 2.985 -1.281 -2.433 0.223 5.441 3.979 4.141 1.610" Properties=species:S:1:pos:R:3 pbc="T T T"
Te -1.217 0.112 2.721
Te 1.990 2.071 0.805
W -0.522 3.675 2.885
Cs 0.000 0.000 0.000
N -1.294 1.493 -0.640
```

Output
Space group: No. 123
ΔE_f (raw), eV/atom: 2.70
Calculated volume, Å³ per atom: 29.6
Electronic total energy, eV per atom: -3.370

=====

The following is a PBEsol calculation of a relaxed structure of MgNiHg, from Alexandria via LeMat-Bulk.

```
3
Lattice="3.223 0.000 0.000 0.000 3.215 0.000 -1.611 -1.607 4.584" Properties=species:S:1:pos:R:3 pbc="T T T"
Ni 1.611 1.607 1.576
Hg 0.000 0.000 0.085
Mg 0.000 0.000 2.923
```

Output
Space group: No. 107
ΔH_f (0 K), eV/f.u.: -0.26
Calculated volume, Å³ per atom: 15.8
Electronic total energy, eV per atom: -2.900

=====

The following is a PBEsol calculation of a relaxed structure of ErPtF7, from Alexandria via LeMat-Bulk.

```
36
Lattice="-1.381 1.212 5.076 2.293 -7.988 2.532 8.809 6.341 0.882" Properties=species:S:1:pos:R:3 pbc="T T T"
F 4.924 4.000 4.555
F 6.797 0.157 7.038
F 2.611 2.824 5.422
F 2.368 -5.107 7.296
F 3.553 -2.017 4.010
F 4.797 -4.435 3.935
F 0.278 0.051 1.477
F 7.353 4.672 1.194
F 3.349 -1.639 6.808
F 7.184 5.019 3.862
F 5.881 -2.422 5.418
F 8.120 2.673 2.871
F 5.818 -0.764 3.223
F 9.443 -0.486 7.014
F 6.167 1.582 4.480
F 1.039 -1.979 3.271
F 2.536 -5.454 4.628
F 1.689 0.592 3.704
F 3.840 1.987 3.072
F 6.371 1.204 1.682
F 8.682 1.544 5.219
F 2.923 -0.592 1.452
F 7.109 -3.259 3.068
F 8.032 -1.027 4.786
F 1.601 -3.108 5.619
F 3.903 0.329 5.267
F -0.183 -1.147 5.597
F 9.904 0.712 2.893
Pt 1.097 -4.970 5.834
Pt 4.375 2.177 4.934
Pt 5.345 -2.612 3.556
Pt 8.624 4.535 2.656
Er 7.730 0.515 3.355
Er 2.150 1.364 1.755
Er 1.991 -0.950 5.135
Er 7.571 -1.799 6.735
```

Output
Space group: No. 14
ΔE_f (raw), eV/atom: -2.61
Calculated volume, Å³ per atom: 13.5
Electronic total energy, eV per atom: -5.427

=====

The following is a PBEsol calculation of a relaxed structure of SbIO2F8, from Alexandria via LeMat-Bulk.

```
48
Lattice="5.805 0.000 0.046 0.000 10.017 0.000 -2.753 0.000 12.412" Properties=species:S:1:pos:R:3 pbc="T T T"
F -0.811 8.985 11.825
F 1.969 0.655 3.234
F 4.164 4.030 3.910
F 3.863 1.032 0.633
F -0.497 1.243 3.112
F 3.143 8.303 1.850
F -1.874 3.766 9.318
F 4.926 6.251 3.140
F 0.593 4.354 9.440
F 1.753 3.360 11.779
F 1.299 6.657 0.679
F 3.160 6.906 5.670
F -0.077 8.368 6.884
F 1.269 1.897 0.582
F 1.083 9.362 9.224
F 3.550 8.774 9.346
F -0.107 3.112 6.788
F 4.617 9.202 4.454
F 0.265 9.038 2.342
F -0.091 1.714 10.608
F -0.188 4.194 1.798
F 2.487 3.976 6.839
F 1.285 3.295 4.402
F 2.460 5.663 3.018
F 3.240 5.824 10.660
F 1.767 6.723 8.056
F 0.566 6.041 5.619
F 3.130 1.649 5.574
F -1.111 5.987 8.548
F 1.783 8.120 11.876
F -1.564 0.815 8.004
F 2.787 0.979 10.116
O -0.895 4.152 11.711
O 2.571 9.160 6.953
O 3.024 3.460 1.713
O 3.947 5.866 0.747
O 1.405 8.469 4.540
O 0.028 6.557 10.745
O 0.482 0.857 5.505
O 1.648 1.548 7.918
Sb 1.544 2.531 6.103
Sb 1.508 7.487 6.355
Sb 2.885 7.539 0.150
Sb 0.168 2.478 12.308
I 3.981 4.907 2.300
I -0.928 5.111 10.158
I 0.448 9.915 3.952
I 2.604 0.102 8.506
```

Output
Space group: No. 14
ΔE_f (raw), eV/atom: -1.59
Calculated volume, Å³ per atom: 15.1
Electronic total energy, eV per atom: -4.277

=====

The following is a PBEsol calculation of a relaxed structure of IrWCl2, from Alexandria via LeMat-Bulk.

```
4
Lattice="2.906 0.000 0.000 0.000 4.585 -0.046 -1.453 -0.639 5.866" Properties=species:S:1:pos:R:3 pbc="T T T"
Cl 0.000 0.849 4.059
Cl 1.453 3.096 1.760
W 0.000 2.292 -0.023
Ir 1.453 0.000 0.000
```

Output
Space group: No. 12
ΔE_f (raw), eV/atom: 0.27
ΔE to the lowest computed polymorph, eV/atom: 0.254
Calculated volume, Å³ per atom: 19.5
Electronic total energy, eV per atom: -6.645

=====

The following is a PBEsol calculation of a relaxed structure of Mg2CdAs, from Alexandria via LeMat-Bulk.

```
4
Lattice="3.456 0.000 0.000 0.000 3.456 0.000 0.000 0.000 6.630" Properties=species:S:1:pos:R:3 pbc="T T T"
Mg 0.000 0.000 1.542
Mg 0.000 0.000 5.088
Cd 1.728 1.728 3.315
As 1.728 1.728 0.000
```

Output
Space group: No. 123
ΔH_f (0 K), eV/f.u.: -0.78
ΔE to the lowest computed polymorph, eV/atom: 0.015
Calculated volume, Å³ per atom: 19.8
Electronic total energy, eV per atom: -2.630

=====

The following is a PBEsol calculation of a relaxed structure of MnFeMo2, from Alexandria via LeMat-Bulk.

```
4
Lattice="-1.815 -1.792 0.416 2.224 -1.491 3.275 -1.780 3.551 2.825" Properties=species:S:1:pos:R:3 pbc="T T T"
Mo -0.742 -1.160 2.708
Mo -3.548 1.710 3.188
Mn -0.712 1.446 3.874
Fe -1.761 0.908 1.610
```

Output
Space group: No. 6
ΔH_f (0 K), eV/f.u.: 0.57
Calculated volume, Å³ per atom: 13.2
Electronic total energy, eV per atom: -10.423

=====

The following is a PBEsol calculation of a relaxed structure of BeZnRe, from Alexandria via LeMat-Bulk.

```
3
Lattice="3.917 0.000 0.000 1.959 3.392 0.000 1.959 1.131 3.198" Properties=species:S:1:pos:R:3 pbc="T T T"
Re 3.917 2.262 1.599
Be 0.000 0.000 0.000
Zn 1.959 1.131 0.800
```

Output
Space group: No. 216
ΔH_f (0 K), eV/f.u.: 3.24
ΔE to the lowest computed polymorph, eV/atom: 0.909
Calculated volume, Å³ per atom: 14.2
Electronic total energy, eV per atom: -5.223

=====

The following is a PBEsol calculation of a relaxed structure of YTl8, from Alexandria via LeMat-Bulk.

```
9
Lattice="4.789 0.000 0.000 2.395 7.140 0.000 2.395 0.000 7.140" Properties=species:S:1:pos:R:3 pbc="T T T"
Tl 4.789 2.380 2.380
Tl 2.395 2.380 4.759
Tl 4.789 4.744 0.000
Tl 4.789 0.000 4.744
Tl 2.395 2.395 0.000
Tl 2.395 0.000 2.395
Tl 4.789 4.759 4.759
Tl 2.395 4.759 2.380
Y 0.000 0.000 0.000
```

Output
Space group: No. 139
ΔH_f (0 K), eV/f.u.: -0.54
Calculated volume, Å³ per atom: 27.1
Electronic total energy, eV per atom: -3.156

=====

The following is a PBEsol calculation of a relaxed structure of ReSi, from Alexandria via LeMat-Bulk.

```
4
Lattice="-0.694 -2.193 2.064 2.438 -1.652 -0.936 3.183 2.553 3.784" Properties=species:S:1:pos:R:3 pbc="T T T"
Re 2.303 1.029 4.183
Re 1.752 -0.399 0.165
Si 0.845 -0.140 2.449
Si 3.210 0.771 1.899
```

Output
Space group: No. 129
ΔE_f (raw), eV/atom: -0.36
Calculated volume, Å³ per atom: 13.3
Electronic total energy, eV per atom: -9.896